Record 1
Entry from Alexandria via LeMat-Bulk: a geometry-optimized Nd3Er4Ag structure (GGA-PBE).

Calculated values
electronic total energy = -4.49 eV/atom
density of states at the Fermi level = 9.749 states/eV per cell
calculated formation energy = -0.061 eV/atom
total magnetic moment = 0.000 μB per formula unit

CIF file:
```
data_Nd3Er4Ag
_cell_length_a 3.588
_cell_length_b 3.588
_cell_length_c 19.009
_cell_angle_alpha 90.00
_cell_angle_beta 90.00
_cell_angle_gamma 90.00
_space_group_name_H-M_alt 'P 4/m m m'
_space_group_IT_number 123
_space_group_name_Hall '-P 4 2'
loop_
_atom_site_label
_atom_site_fract_x
_atom_site_fract_y
_atom_site_fract_z
Nd1 0.000 0.000 0.000
Nd2 0.000 0.000 0.268
Er1 0.500 0.500 0.134
Er2 0.500 0.500 0.403
Ag1 0.000 0.000 0.500
```

Record 2
Entry from Alexandria via LeMat-Bulk: a geometry-optimized PuGaAu4 structure (GGA-PBE).

Calculated values
electronic total energy = -5.37 eV/atom
density of states at the Fermi level = 60.104 states/eV per cell
calculated formation energy = -0.289 eV/atom
total magnetic moment = 5.636 μB per formula unit

CIF file:
```
data_PuGaAu4
_cell_length_a 11.090
_cell_length_b 6.042
_cell_length_c 7.986
_cell_angle_alpha 90.00
_cell_angle_beta 111.99
_cell_angle_gamma 90.00
_space_group_name_H-M_alt 'C 1 2/m 1'
_space_group_IT_number 12
loop_
_space_group_symop_operation_xyz
'x,y,z'
'-x,-y,-z'
'-x,y,-z'
'x,-y,z'
'x+1/2,y+1/2,z'
'-x+1/2,-y+1/2,-z'
'-x+1/2,y+1/2,-z'
'x+1/2,-y+1/2,z'
loop_
_atom_site_label
_atom_site_fract_x
_atom_site_fract_y
_atom_site_fract_z
Pu1 0.201 0.000 0.323
Ga1 0.059 0.500 0.277
Au1 0.000 0.245 0.500
Au2 0.110 0.239 0.945
Au3 0.218 0.000 0.728
```

Record 3
Entry from Alexandria via LeMat-Bulk: a geometry-optimized SrTlGa2Au5 structure (GGA-PBE).

Calculated values
electronic total energy = -3.24 eV/atom
density of states at the Fermi level = 2.197 states/eV per cell
calculated formation energy = -0.295 eV/atom
total magnetic moment = 0.000 μB per formula unit

CIF file:
```
data_SrTlGa2Au5
_cell_length_a 5.050
_cell_length_b 5.050
_cell_length_c 7.876
_cell_angle_alpha 90.00
_cell_angle_beta 90.00
_cell_angle_gamma 90.00
_space_group_name_H-M_alt 'P 4/m m m'
_space_group_IT_number 123
_space_group_name_Hall '-P 4 2'
loop_
_atom_site_label
_atom_site_fract_x
_atom_site_fract_y
_atom_site_fract_z
Sr1 0.000 0.000 0.000
Tl1 0.000 0.000 0.500
Ga1 0.500 0.500 0.338
Au1 0.000 0.500 0.248
Au2 0.500 0.500 0.000
```

- What is the electronic total energy in the third record?
  -3.24 eV/atom